No. 1
{
  "formula": "Rb2BeAsCl6",
  "functional": "PBE",
  "state": "optimized geometry",
  "formation_energy_uncorrected_ev_per_atom": -1.141,
  "volume_a3_per_cell": 264.7,
  "dft_energy_ev_per_atom": -3.2800,
  "lattice": [[7.0692, 0.0000, 0.0000], [0.0000, 7.0692, 0.0000], [3.5346, 3.5346, 5.2967]],
  "species": ["Be", "As", "Rb", "Rb", "Cl", "Cl", "Cl", "Cl", "Cl", "Cl"],
  "frac_coords": [[0.5000, 0.5000, 0.0000], [0.0000, 0.0000, 0.0000], [0.7500, 0.2500, 0.5000], [0.2500, 0.7500, 0.5000], [0.2327, 0.2327, 0.5347], [0.7673, 0.7673, 0.4653], [0.2809, 0.2809, 0.0000], [0.7191, 0.7191, 0.0000], [0.7191, 0.2809, 0.0000], [0.2809, 0.7191, 0.0000]]
}


No. 2
{
  "formula": "BeAsSCl2",
  "functional": "PBE",
  "state": "optimized geometry",
  "e_above_lowest_polymorph_mev_per_atom": 0,
  "formation_energy_uncorrected_ev_per_atom": -0.046,
  "volume_a3_per_cell": 88.3,
  "dft_energy_ev_per_atom": -3.2853,
  "lattice": [[-2.2405, -2.5760, -2.5519], [-1.7710, -1.8402, 3.4125], [-3.6087, 3.2552, -0.1175]],
  "species": ["Be", "As", "S", "Cl", "Cl"],
  "frac_coords": [[0.0000, 0.0000, 0.0000], [0.5000, 0.5000, 0.5000], [0.0000, 0.0000, 0.5000], [0.0000, 0.5000, 0.0000], [0.5000, 0.0000, 0.0000]]
}


No. 3
{
  "formula": "BeAsSCl2",
  "functional": "PBE",
  "state": "optimized geometry",
  "e_above_lowest_polymorph_mev_per_atom": 533,
  "formation_energy_uncorrected_ev_per_atom": 0.487,
  "volume_a3_per_cell": 120.8,
  "dft_energy_ev_per_atom": -2.7525,
  "lattice": [[-2.6038, 3.4965, -2.4907], [-3.6071, -0.2025, 3.4866], [2.2212, 3.4331, 2.4974]],
  "species": ["Be", "As", "S", "Cl", "Cl"],
  "frac_coords": [[0.5000, 0.5000, 0.5000], [0.0000, 0.0000, 0.0000], [0.0000, 0.0000, 0.5000], [0.0000, 0.5000, 0.0000], [0.5000, 0.0000, 0.0000]]
}


No. 4
{
  "formula": "BeSbAsCl2",
  "functional": "PBE",
  "state": "optimized geometry",
  "formation_energy_uncorrected_ev_per_atom": -0.152,
  "volume_a3_per_cell": 161.3,
  "dft_energy_ev_per_atom": -3.3901,
  "lattice": [[-2.1454, -2.2043, 2.7679], [7.8548, -1.3423, 5.0192], [-0.7803, 3.4520, 2.1443]],
  "species": ["Sb", "As", "Be", "Cl", "Cl"],
  "frac_coords": [[0.0000, 0.5000, 0.0000], [0.5000, 0.5000, 0.5000], [0.0000, 0.0000, 0.0000], [0.0000, 0.0000, 0.5000], [0.5000, 0.0000, 0.0000]]
}


No. 5
{
  "formula": "TaBe2AsCl",
  "functional": "PBE",
  "state": "optimized geometry",
  "formation_energy_uncorrected_ev_per_atom": 1.123,
  "volume_a3_per_cell": 122.0,
  "dft_energy_ev_per_atom": -4.0374,
  "lattice": [[-3.8391, 3.2155, 0.4045], [-3.0217, -3.4030, -1.6277], [-0.7981, -1.5458, 4.7133]],
  "species": ["Be", "Be", "As", "Cl", "Ta"],
  "frac_coords": [[0.0000, 0.0000, 0.5000], [0.5000, 0.0000, 0.0000], [0.0000, 0.5000, 0.0000], [0.5000, 0.5000, 0.5000], [0.0000, 0.0000, 0.0000]]
}


No. 6
{
  "formula": "BeCoAs",
  "functional": "PBE",
  "state": "optimized geometry",
  "e_above_lowest_polymorph_mev_per_atom": 201,
  "volume_a3_per_cell": 36.4,
  "dft_energy_ev_per_atom": -5.0923,
  "lattice": [[-1.8068, 3.1561, -0.7811], [-1.0149, 0.7446, -3.5002], [-3.5932, -0.1018, -0.9562]],
  "species": ["Be", "As", "Co"],
  "frac_coords": [[0.7500, 0.7500, 0.7500], [0.5000, 0.5000, 0.5000], [0.0000, 0.0000, 0.0000]]
}